# 1
Below is crystalline SnGe at its relaxed geometry, with properties calculated at the PBE level.

a b c (Å): 12.3317 12.3317 4.5311
angles (deg): 90.00 90.00 90.00
Atoms (fractional coordinates):
Ge 0.6092 0.2332 0.5000
Ge 0.6129 0.8908 0.0000
Ge 0.1092 0.6129 0.0000
Ge 0.3908 0.7668 0.5000
Ge 0.7668 0.6092 0.5000
Ge 0.8908 0.3871 0.0000
Ge 0.3871 0.1092 0.0000
Ge 0.2332 0.3908 0.5000
Sn 0.7694 0.3831 0.5000
Sn 0.6061 0.1111 0.0000
Sn 0.1111 0.3939 0.0000
Sn 0.2306 0.6169 0.5000
Sn 0.6169 0.7694 0.5000
Sn 0.8889 0.6061 0.0000
Sn 0.3939 0.8889 0.0000
Sn 0.3831 0.2306 0.5000

## Properties
N(E_F) = 0.168 states/eV/atom
DFT formation energy = 0.276 eV per atom

=====

# 2
Below is crystalline Sn5Ge at its relaxed geometry, with properties calculated at the PBE level.

a b c (Å): 4.2973 6.0383 6.7963
angles (deg): 90.00 108.56 90.00
Atoms (fractional coordinates):
Sn 0.7055 0.0000 0.4071
Sn 0.7255 0.5000 0.4509
Sn 0.3856 0.5000 0.7713
Sn 0.4057 0.0000 0.8154
Sn 0.0555 0.5000 0.1110
Ge 0.0555 0.0000 0.1110

## Properties
N(E_F) = 0.631 states/eV/atom
Energy above the most stable polymorph in this dataset = 0.00 kcal/mol of atoms
DFT formation energy = 0.104 eV per atom

=====

Number 1: calculated volume 689.0 Å³ per cell. Number 2: calculated volume 167.2 Å³ per cell.